[1]
# LiCaPmI6

An optimized crystal structure of LiCaPmI6 (GGA-PBE, the Alexandria database).

calculated volume	41.54	Å³/atom
formation energy (no corrections)	-1.39	eV/atom
space-group type	No. 102

Unit cell a=7.3920 b=7.3920 c=13.6832 alpha=90.00 beta=90.00 gamma=90.00
With the nearest neighbours (Å) after each atom.
Element x y z (fractional)
Li1 0.0000 0.0000 0.0000  6 I 3.00-3.11
Li2 0.5000 0.5000 0.5000  6 I 3.00-3.11
Ca1 0.0000 0.0000 0.3336  6 I 3.14-3.18
Ca2 0.5000 0.5000 0.8336  6 I 3.14-3.18
Pm1 0.0000 0.0000 0.6679  6 I 3.10-3.15
Pm2 0.5000 0.5000 0.1679  6 I 3.10-3.15
I1 0.1955 0.1955 0.8392  1 Li 3.00, 1 Pm 3.11, 1 Ca 3.18
I2 0.1992 0.1992 0.1616  1 Li 3.04, 1 Ca 3.14, 1 Pm 3.15
I3 0.2029 0.2029 0.5027  1 Pm 3.10, 1 Li 3.11, 1 Ca 3.14
I4 0.2971 0.7029 0.0027  1 Pm 3.10, 1 Li 3.11, 1 Ca 3.14
I5 0.3008 0.6992 0.6616  1 Li 3.04, 1 Ca 3.14, 1 Pm 3.15
I6 0.3045 0.6955 0.3392  1 Li 3.00, 1 Pm 3.11, 1 Ca 3.18
I7 0.6955 0.3045 0.3392  1 Li 3.00, 1 Pm 3.11, 1 Ca 3.18
I8 0.6992 0.3008 0.6616  1 Li 3.04, 1 Ca 3.14, 1 Pm 3.15
I9 0.7029 0.2971 0.0027  1 Pm 3.10, 1 Li 3.11, 1 Ca 3.14
I10 0.7971 0.7971 0.5027  1 Pm 3.10, 1 Li 3.11, 1 Ca 3.14
I11 0.8008 0.8008 0.1616  1 Li 3.04, 1 Ca 3.14, 1 Pm 3.15
I12 0.8045 0.8045 0.8392  1 Li 3.00, 1 Pm 3.11, 1 Ca 3.18

[2]
# Rb2Li2CaI6

An optimized crystal structure of Rb2Li2CaI6 (GGA-PBE, the Alexandria database).

calculated volume	45.82	Å³/atom
formation energy (no corrections)	-1.38	eV/atom
space-group type	No. 12

Unit cell a=8.4354 b=8.4354 c=9.0093 alpha=113.05 beta=113.05 gamma=62.11
With the nearest neighbours (Å) after each atom.
Element x y z (fractional)
Rb1 0.2119 0.2119 0.1654  5 I 3.64-3.87
Rb2 0.7881 0.7881 0.8346  5 I 3.64-3.87
Li1 0.4406 0.4406 0.7263  3 I 2.64-2.68
Li2 0.5594 0.5594 0.2737  3 I 2.64-2.68
Ca1 0.0000 0.0000 0.5000  6 I 3.12-3.18
I1 0.1891 0.6969 0.2100  1 Li 2.68
I2 0.2353 0.2353 0.5856  1 Li 2.64
I3 0.3031 0.8109 0.7900  1 Li 2.68
I4 0.6969 0.1891 0.2100  1 Li 2.68
I5 0.7647 0.7647 0.4144  1 Li 2.64
I6 0.8109 0.3031 0.7900  1 Li 2.68